Entry 1:
# Y2NiI2

An optimized crystal structure of Y2NiI2 (PBE, Alexandria via LeMat-Bulk).

## Properties
DOS(E_F) in states/eV/atom: 0.435
SG: C2/m, No. 12
Total magnetization in μB per atom: 0.000
Raw formation energy in meV/atom: -885
Mass density in g cm⁻³: 4.8

```
Y2NiI2
1.0
3.9712 0.0000 0.7414
1.9299 3.4859 0.6689
-0.2279 -0.1446 12.2268
Ni I Y
1 2 2
direct
0.0000 0.5000 0.5000
0.5532 0.0881 0.8054
0.4468 0.9119 0.1946
0.7137 0.1992 0.3733
0.2863 0.8008 0.6267
```

=====

Entry 2:
# Pr5PtAu2

An optimized crystal structure of Pr5PtAu2 (PBE, Alexandria via LeMat-Bulk).

## Properties
DOS(E_F) in states/eV/atom: 1.069
SG: Pbam, No. 55
DFT total energy in eV per cell: -83.5
Total magnetization in μB per atom: 0.000
Mass density in g cm⁻³: 9.3

```
Pr5PtAu2
1.0
-3.4926 3.3484 0.6106
-4.2877 -3.5340 -5.1461
-5.1159 -6.9887 9.0618
Pr Pt Au
10 2 4
direct
0.0000 0.5000 0.0000
0.0000 0.0000 0.5000
0.5000 0.8186 0.9153
0.0000 0.3448 0.2901
0.0000 0.6552 0.7099
0.5000 0.6814 0.4153
0.5000 0.3186 0.5847
0.0000 0.1552 0.7901
0.0000 0.8448 0.2099
0.5000 0.1814 0.0847
0.0000 0.5000 0.5000
0.0000 0.0000 0.0000
0.5000 0.9291 0.6664
0.5000 0.5709 0.1664
0.5000 0.4291 0.8336
0.5000 0.0709 0.3336
```

=====

Entry 3:
# YSe3

An optimized crystal structure of YSe3 (PBE, Alexandria via LeMat-Bulk).

## Properties
DOS(E_F) in states/eV/atom: 0.264
SG: Pnma, No. 62
Total magnetization in μB per atom: 0.000
Raw formation energy in meV/atom: -1037
Mass density in g cm⁻³: 5.1

```
YSe3
1.0
-0.9297 5.6936 -4.2452
-6.4828 1.9879 4.0858
4.2163 4.1653 4.6632
Se Y
12 4
direct
0.8417 0.0173 0.2500
0.6583 0.5173 0.2500
0.2820 0.8850 0.0568
0.7820 0.6150 0.5568
0.7820 0.6150 0.9432
0.2180 0.3850 0.4432
0.2180 0.3850 0.0568
0.7180 0.1150 0.9432
0.1583 0.9827 0.7500
0.2820 0.8850 0.4432
0.3417 0.4827 0.7500
0.7180 0.1150 0.5568
0.4685 0.1607 0.2500
0.9685 0.3393 0.7500
0.5315 0.8393 0.7500
0.0315 0.6607 0.2500
```